Record 1
Computed, not measured: a relaxed SiPbSe3 crystal at the GGA-PBE level of DFT.

```
SiPbSe3
1.0
2.249 -6.892 1.102
7.277 0.833 -0.339
0.649 0.688 5.955
Se Si Pb
6 2 2
direct
0.918 0.336 0.264
0.403 0.403 0.286
0.336 0.918 0.264
0.597 0.597 0.714
0.664 0.082 0.736
0.082 0.664 0.736
0.332 0.668 0.500
0.668 0.332 0.500
0.815 0.815 0.404
0.185 0.185 0.596
```

## Properties
**Distance to the lowest polymorph of the same formula**: 0 meV per atom
**Uncorrected formation energy**: -0.477 eV/atom
**Calculated total energy**: -43.9 eV/cell
**Fermi-level density of states**: 0.0 states/eV per cell

Record 2
Computed, not measured: a relaxed Pm3TlS6 crystal at the GGA-PBE level of DFT.

```
Pm3TlS6
1.0
-0.881 0.366 -6.726
-1.646 -8.643 -0.254
-7.995 3.467 1.235
S Pm Tl
12 6 2
direct
0.715 0.903 0.444
0.187 0.691 0.633
0.215 0.444 0.903
0.637 0.221 0.779
0.687 0.309 0.367
0.187 0.367 0.309
0.137 0.779 0.221
0.680 0.970 0.030
0.687 0.633 0.691
0.180 0.030 0.970
0.215 0.097 0.556
0.715 0.556 0.097
0.394 0.404 0.596
0.483 0.911 0.715
0.894 0.596 0.404
0.983 0.715 0.911
0.983 0.089 0.285
0.483 0.285 0.089
0.504 0.800 0.200
0.004 0.200 0.800
```

## Properties
**Uncorrected formation energy**: -1.575 eV/atom
**Calculated total energy**: -114.3 eV/cell